--- one ---
## ZrMoCl2 (PBE)

Data for an optimized crystal structure of ZrMoCl2.

a b c (Å): 4.7476 4.7476 4.7476
angles (deg): 60.00 60.00 60.00
Last column: nearest neighbours and their distance in Å.
Fractional coordinates of all 4 atoms:
Mo 0.5000 0.5000 0.5000  4 Cl 2.91, 4 Zr 2.91
Zr 0.7500 0.7500 0.7500  4 Cl 2.91, 4 Mo 2.91
Cl 0.0000 0.0000 0.0000  4 Zr 2.91, 4 Cl 2.91
Cl 0.2500 0.2500 0.2500  4 Cl 2.91, 4 Mo 2.91

Summary:
Total magnetic moment (Bohr magnetons per cell): 1.74
V (Å³/cell): 75.7
Space group: F-43m (216)

***

--- two ---
## ZrMoCl2 (PBE)

Data for an optimized crystal structure of ZrMoCl2.

a b c (Å): 3.5529 3.5516 7.4106
angles (deg): 90.00 90.00 90.00
Last column: nearest neighbours and their distance in Å.
Fractional coordinates of all 4 atoms:
Mo 0.0000 0.0000 0.5561  1 Cl 2.56, 4 Zr 2.74
Zr 0.5000 0.5000 0.7041  5 Cl 2.71-2.91, 4 Mo 2.74
Cl 0.0000 0.0000 0.9017  1 Mo 2.56
Cl 0.5000 0.5000 0.3380  1 Zr 2.71, 4 Mo 2.99

Summary:
Total magnetic moment (Bohr magnetons per cell): 0.00
V (Å³/cell): 93.5
Space group: P4mm (99)

***

--- three ---
## ZrMoCl2 (PBE)

Data for an optimized crystal structure of ZrMoCl2.

a b c (Å): 5.7497 5.7497 5.7497
angles (deg): 142.47 142.47 54.13
Last column: nearest neighbours and their distance in Å.
Fractional coordinates of all 4 atoms:
Mo 0.5000 0.5000 0.0000  4 Cl 2.62
Zr 0.7500 0.2500 0.5000  4 Cl 2.62
Cl 0.0000 0.0000 0.0000  4 Mo 2.62
Cl 0.2500 0.7500 0.5000  4 Zr 2.62

Summary:
Total magnetic moment (Bohr magnetons per cell): 0.21
V (Å³/cell): 70.1
Space group: I-4m2 (119)

***

The most stable of them is two.